## a
Material: LaSm5Y4
Method: DFT, GGA-PBE
State: optimized geometry

```
10
Lattice="-5.163 5.163 3.174 5.163 -5.163 3.174 5.163 5.163 -3.174" Properties=species:S:1:pos:R:3 pbc="T T T"
La 0.000 0.000 0.000
Sm 3.619 2.813 -1.448
Sm 2.350 -1.544 1.725
Sm 2.813 6.707 -1.448
Sm 1.544 2.350 1.725
Sm 0.000 0.000 3.435
Y 5.613 -1.603 1.688
Y 4.713 1.603 1.688
Y -1.603 4.713 1.688
Y 1.603 5.613 1.688
```

Computed properties:
Space group ... No. 79


## b
Material: LaSm5Y4
Method: DFT, GGA-PBE
State: optimized geometry

```
10
Lattice="14.235 -1.750 0.000 14.235 1.750 0.000 -0.856 0.000 6.821" Properties=species:S:1:pos:R:3 pbc="T T T"
La 0.000 0.000 0.000
Sm -0.428 0.000 3.411
Sm 7.603 0.000 6.122
Sm 8.141 0.000 2.724
Sm 19.473 0.000 4.098
Sm 20.011 0.000 0.699
Y 2.423 0.000 5.503
Y 10.931 0.000 4.733
Y 16.683 0.000 2.088
Y 25.191 0.000 1.319
```

Computed properties:
Space group ... No. 12


Question: which arrangement is favored energetically? Ranking from most to least stable: b, a.


## a
Material: La6Sm4Y
Method: DFT, GGA-PBE
State: optimized geometry

```
11
Lattice="-3.514 3.514 8.115 3.514 -3.514 8.115 3.514 3.514 -8.115" Properties=species:S:1:pos:R:3 pbc="T T T"
La 3.514 0.000 0.000
La 2.175 -2.175 5.150
La 1.339 1.339 2.964
La 0.000 3.514 0.000
La -2.175 2.175 5.150
La 2.175 2.175 11.079
Sm 2.320 2.320 -1.695
Sm 1.193 -1.193 9.809
Sm 1.193 1.193 6.420
Sm -1.193 1.193 9.809
Y 0.000 0.000 0.000
```

Computed properties:
Space group ... No. 121


## b
Material: La6Sm4Y
Method: DFT, GGA-PBE
State: optimized geometry

```
11
Lattice="-3.398 3.398 8.433 3.398 -3.398 8.433 3.398 3.398 -8.433" Properties=species:S:1:pos:R:3 pbc="T T T"
La 3.398 0.000 0.000
La 2.310 2.310 -2.012
La 1.087 -1.087 10.445
La 0.000 3.398 0.000
La 1.087 1.087 6.421
La -1.087 1.087 10.445
Sm 2.171 2.171 -5.327
Sm 1.227 1.227 3.106
Sm 1.227 -1.227 13.760
Sm -1.227 1.227 13.760
Y 0.000 0.000 0.000
```

Computed properties:
Space group ... No. 121


Question: which arrangement is favored energetically? Ranking from most to least stable: b, a.


## a
Material: La3Sm2Y
Method: DFT, GGA-PBE
State: optimized geometry

```
12
Lattice="-5.638 6.009 3.537 5.638 -6.009 3.537 5.638 6.009 -3.537" Properties=species:S:1:pos:R:3 pbc="T T T"
La 5.638 -2.876 1.769
La 0.000 0.000 1.769
La 5.638 2.876 1.769
La 0.000 3.133 1.769
La 0.000 0.000 5.306
La 0.000 8.886 1.769
Sm 2.787 2.424 0.000
Sm 2.787 -2.424 3.537
Sm 2.851 8.434 0.000
Sm 2.851 3.585 3.537
Y 5.638 0.000 0.000
Y 0.000 6.009 0.000
```

Computed properties:
Space group ... No. 72


## b
Material: La3Sm2Y
Method: DFT, GGA-PBE
State: optimized geometry

```
12
Lattice="6.816 0.000 0.000 0.000 18.218 0.000 0.000 0.000 3.476" Properties=species:S:1:pos:R:3 pbc="T T T"
La 0.000 0.000 0.000
La 1.581 5.752 0.000
La 1.827 14.861 1.738
La 3.408 9.109 1.738
La 4.990 3.357 1.738
La 5.235 12.466 0.000
Sm 1.559 2.700 1.738
Sm 1.850 11.810 0.000
Sm 4.967 6.409 0.000
Sm 5.258 15.518 1.738
Y 0.000 9.109 0.000
Y 3.408 0.000 1.738
```

Computed properties:
Space group ... No. 58


Question: which arrangement is favored energetically? Ranking from most to least stable: b, a.